Entry 1:
## MnSe2Cl (GGA-PBEsol)

Data for MnSe2Cl after structural relaxation.

The energy relative to the elements, uncorrected is -1.27 eV/f.u. The energy above the most stable polymorph in this dataset comes out at 0.000 eV per formula unit.

It has space group Cm (No. 8), with a = 10.510 Å, b = 3.393 Å, c = 5.357 Å, α = 90.00°, β = 104.77° and γ = 90.00°. The inequivalent atoms are Mn at (0.000, 0.000, 0.000), Se at (0.049, 0.500, 0.359), Se at (0.184, 0.500, 0.066) and Cl at (0.365, 0.000, 0.723).

Entry 2:
## Al3WN (GGA-PBEsol)

Data for Al3WN after structural relaxation.

The energy relative to the elements, uncorrected is 9.20 eV/f.u. The energy above the most stable polymorph in this dataset comes out at 9.201 eV per formula unit.

It has space group Pm-3m (No. 221), with a = 4.892 Å, b = 4.892 Å, c = 4.892 Å, α = 90.00°, β = 90.00° and γ = 90.00°. The inequivalent atoms are Al at (0.000, 0.000, 0.500), W at (0.000, 0.000, 0.000) and N at (0.500, 0.500, 0.500).

Entry 3:
## ZrTeIr3 (GGA-PBEsol)

Data for ZrTeIr3 after structural relaxation.

The energy relative to the elements, uncorrected is 6.47 eV/f.u.

It has space group Pm-3m (No. 221), with a = 4.754 Å, b = 4.754 Å, c = 4.754 Å, α = 90.00°, β = 90.00° and γ = 90.00°. The inequivalent atoms are Zr at (0.000, 0.000, 0.000), Te at (0.500, 0.500, 0.500) and Ir at (0.000, 0.500, 0.500).

Entry 4:
## ZrMnPb2 (GGA-PBEsol)

Data for ZrMnPb2 after structural relaxation.

The formation energy is 0.49 eV per atom. The energy above the most stable polymorph in this dataset comes out at 1.360 eV per formula unit.

It has space group F-43m (No. 216), with a = 7.094 Å, b = 7.094 Å, c = 7.094 Å, α = 90.00°, β = 90.00° and γ = 90.00°. The inequivalent atoms are Zr at (0.000, 0.000, 0.000), Mn at (0.250, 0.250, 0.750), Pb at (0.000, 0.000, 0.500) and Pb at (0.250, 0.250, 0.250).

Entry 5:
## Li2MgCd (GGA-PBEsol)

Data for Li2MgCd after structural relaxation.

The formation energy is -0.18 eV per atom. The energy above the most stable polymorph in this dataset comes out at 0.058 eV per formula unit.

It has space group Imm2 (No. 44), with a = 3.682 Å, b = 4.528 Å, c = 8.774 Å, α = 90.00°, β = 90.00° and γ = 90.00°. The inequivalent atoms are Li at (0.000, 0.000, 0.000), Li at (0.000, 0.500, 0.261), Mg at (0.000, 0.500, 0.755) and Cd at (0.000, 0.000, 0.518).

Entry 6:
## SiPAu (GGA-PBEsol)

Data for SiPAu after structural relaxation.

The energy relative to the elements, uncorrected is -0.49 eV/f.u.

It has space group R3m (No. 160, hexagonal axes), with a = 3.4483 Å, b = 3.4483 Å, c = 17.2304 Å, α = 90.00°, β = 90.00° and γ = 120.00°. The inequivalent atoms are Si at (0.0000, 0.0000, 0.0000), P at (0.0000, 0.0000, 0.7284) and Au at (0.0000, 0.0000, 0.8648).

Entry 7:
## LiInSe (GGA-PBEsol)

Data for LiInSe after structural relaxation.

The energy relative to the elements, uncorrected is -0.73 eV/f.u.

It has space group F-43m (No. 216), with a = 6.814 Å, b = 6.814 Å, c = 6.814 Å, α = 90.00°, β = 90.00° and γ = 90.00°. The inequivalent atoms are Li at (0.000, 0.000, 0.000), In at (0.250, 0.250, 0.750) and Se at (0.000, 0.000, 0.500).

Entry 8:
## CaTl2Ag (GGA-PBEsol)

Data for CaTl2Ag after structural relaxation.

The formation energy is -0.20 eV per atom.

It has space group P4/mmm (No. 123), with a = 4.581 Å, b = 4.581 Å, c = 4.583 Å, α = 90.00°, β = 90.00° and γ = 90.00°. The inequivalent atoms are Ca at (0.000, 0.000, 0.000), Tl at (0.000, 0.500, 0.500) and Ag at (0.500, 0.500, 0.000).